Entry 1:
Entry from Alexandria via LeMat-Bulk: a geometry-optimized Pu4SnAu3 structure (GGA-PBE).

CIF file:
```
data_Pu4SnAu3
_chemical_formula_sum 'Pu4 Sn1 Au3'
_space_group_name_H-M_alt 'P m m m'
_space_group_IT_number 47
_cell_length_a 3.134
_cell_length_b 5.591
_cell_length_c 11.081
_cell_angle_alpha 90.00
_cell_angle_beta 90.00
_cell_angle_gamma 90.00
loop_
_space_group_symop_operation_xyz
'x,y,z'
'-x,-y,-z'
'-x,-y,z'
'x,y,-z'
'x,-y,-z'
'-x,y,z'
'-x,y,-z'
'x,-y,z'
loop_
_atom_site_label
_atom_site_type_symbol
_atom_site_fract_x
_atom_site_fract_y
_atom_site_fract_z
Pu1 Pu 0.000 0.000 0.000
Pu2 Pu 0.000 0.000 0.500
Pu3 Pu 0.000 0.500 0.243
Sn1 Sn 0.500 0.500 0.500
Au1 Au 0.500 0.000 0.249
Au2 Au 0.500 0.500 0.000
```

- calculated formation energy (meV per atom) = -383
- theoretical density (g cm⁻³) = 14.41


Entry 2:
Entry from Alexandria via LeMat-Bulk: a geometry-optimized Pu3SnAu structure (GGA-PBE).

CIF file:
```
data_Pu3SnAu
_chemical_formula_sum 'Pu9 Sn3 Au3'
_space_group_name_H-M_alt 'P m -3 m'
_space_group_IT_number 221
_space_group_name_Hall '-P 4 2 3'
_cell_length_a 7.318
_cell_length_b 7.318
_cell_length_c 7.318
_cell_angle_alpha 90.00
_cell_angle_beta 90.00
_cell_angle_gamma 90.00
loop_
_atom_site_label
_atom_site_type_symbol
_atom_site_fract_x
_atom_site_fract_y
_atom_site_fract_z
Pu1 Pu 0.000 0.000 0.000
Pu2 Pu 0.271 0.271 0.271
Sn1 Sn 0.000 0.000 0.500
Au1 Au 0.000 0.500 0.500
```

- calculated formation energy (meV per atom) = -166
- theoretical density (g cm⁻³) = 13.32


Entry 3:
Entry from Alexandria via LeMat-Bulk: a geometry-optimized Pu2SnAu structure (GGA-PBE).

CIF file:
```
data_Pu2SnAu
_chemical_formula_sum 'Pu6 Sn3 Au3'
_space_group_name_H-M_alt 'R -3 m'
_space_group_IT_number 166
_space_group_name_Hall '-R 3 2"'
_cell_length_a 3.4326
_cell_length_b 3.4326
_cell_length_c 30.2106
_cell_angle_alpha 90.00
_cell_angle_beta 90.00
_cell_angle_gamma 120.00
loop_
_atom_site_label
_atom_site_type_symbol
_atom_site_fract_x
_atom_site_fract_y
_atom_site_fract_z
Pu1 Pu 0.0000 0.0000 0.2457
Sn1 Sn 0.0000 0.0000 0.0000
Au1 Au 0.0000 0.0000 0.5000
```

- calculated formation energy (meV per atom) = -158
- theoretical density (g cm⁻³) = 12.99


Entry 4:
Entry from Alexandria via LeMat-Bulk: a geometry-optimized PuSn2Au4 structure (GGA-PBE).

CIF file:
```
data_PuSn2Au4
_chemical_formula_sum 'Pu2 Sn4 Au8'
_space_group_name_H-M_alt 'C 1 2/m 1'
_space_group_IT_number 12
_cell_length_a 8.157
_cell_length_b 4.720
_cell_length_c 8.752
_cell_angle_alpha 90.00
_cell_angle_beta 106.71
_cell_angle_gamma 90.00
loop_
_space_group_symop_operation_xyz
'x,y,z'
'-x,-y,-z'
'-x,y,-z'
'x,-y,z'
'x+1/2,y+1/2,z'
'-x+1/2,-y+1/2,-z'
'-x+1/2,y+1/2,-z'
'x+1/2,-y+1/2,z'
loop_
_atom_site_label
_atom_site_type_symbol
_atom_site_fract_x
_atom_site_fract_y
_atom_site_fract_z
Pu1 Pu 0.000 0.000 0.000
Sn1 Sn 0.250 0.000 0.731
Au1 Au 0.111 0.500 0.819
Au2 Au 0.126 0.000 0.400
```

- calculated formation energy (meV per atom) = -244
- theoretical density (g cm⁻³) = 13.06


- Which of these has the highest theoretical density?
  Pu4SnAu3